80
Lattice="-5.6607 5.3330 -8.0281 -5.8257 -1.5304 9.4156 8.8065 5.6800 3.8881" Properties=species:S:1:pos:R:3 comment="PBE+U LiFeSi2O6, relaxed" spacegroup="No. 88" dos_at_fermi_per_ev_atom=0.000 final_energy_ev_per_atom=-7.127 pbc="T T T"
Li -4.0178 2.6642 0.3425
Li 0.7051 7.1164 -2.6510
Li 1.4745 4.8707 9.8730
Li 1.4446 6.9670 5.4094
Li -3.2968 6.9847 -5.5297
Li -3.4917 2.2176 7.4503
Li -2.5573 6.8353 2.5307
Li -0.9802 0.2746 3.6772
Fe -0.3817 4.3588 -1.1326
Fe -3.5435 4.3881 -4.2498
Fe 4.3800 5.5221 4.7876
Fe -5.4350 7.2206 2.6405
Fe -2.2430 5.2007 6.6547
Fe -7.1152 3.8836 0.2414
Fe -0.5715 3.0966 3.1201
Fe 4.1902 4.2599 9.0403
Si -6.1825 4.2876 3.1293
Si 0.5841 7.4459 2.0383
Si 4.3157 6.0090 1.6504
Si -4.1006 1.1902 3.6289
Si -6.3730 2.2190 5.2872
Si 1.4838 9.8937 -4.1535
Si 1.5720 4.5781 1.3610
Si -4.6527 5.8090 -0.0942
Si 2.2364 4.0407 6.5467
Si 2.8004 8.1427 -0.0261
Si -4.4507 -0.8107 8.1480
Si -3.3360 4.0580 4.0332
Si -0.8974 1.7485 0.3907
Si -0.5072 2.6097 6.2573
Si -2.4364 6.5058 -2.1586
Si -1.4955 8.1337 6.1660
O -1.5115 3.1764 -0.1385
O -4.5402 4.2872 2.9391
O 4.0010 7.2807 0.6836
O -6.9131 3.3005 2.0450
O 1.2359 7.8303 3.4888
O -6.4626 3.7436 4.6541
O 7.1242 6.1820 3.5511
O 4.3342 6.5577 3.1915
O -3.9775 1.3315 2.0014
O 0.6487 5.8259 1.8885
O -0.8862 6.0646 -1.8719
O -0.1537 3.7675 10.4874
O 3.1658 4.8438 1.5617
O -3.3091 5.7265 -1.0102
O -4.2541 6.5806 1.2922
O 1.3004 4.4166 -0.2441
O -5.6735 1.2872 4.1288
O -5.4634 2.1867 6.6494
O -4.0400 7.4851 3.9124
O -7.9033 1.6963 5.5717
O 5.7006 4.1584 4.5450
O -0.9679 6.5855 6.3093
O 2.6349 5.2928 5.5704
O -5.4136 3.9847 -4.0252
O 1.1735 3.3259 2.3373
O -5.2451 4.2870 0.0168
O -6.7101 5.8359 2.9860
O -1.8922 4.4603 3.3628
O -8.5811 5.0450 -0.1646
O -3.6380 4.9362 5.3828
O 3.4462 4.9017 10.6739
O 0.6755 1.6515 -0.1091
O 2.5081 4.2022 8.1519
O 2.4018 7.3711 -1.4125
O 0.6427 3.7749 6.3460
O 1.4569 8.2252 0.8898
O -0.9660 7.8872 1.7515
O -1.8635 3.3209 6.8358
O -2.5009 8.1258 -2.0088
O -1.0205 1.6073 2.0182
O -0.5258 2.0610 4.7162
O -3.3157 2.4368 4.3566
O -1.2153 8.6777 4.6411
O -3.0881 6.1214 -3.6091
O -3.7456 4.9712 -6.0534
O -0.1925 1.3381 7.2241
O 2.6879 9.6645 -3.0595
O -3.4865 -0.2377 4.1582